## Sb2TeP (PBE)

Data for a relaxed structure of Sb2TeP.

The structure in CIF format:
```
data_Sb2TeP
_chemical_formula_sum 'Sb4 Te2 P2'
_symmetry_space_group_name_H-M 'P 1'
_symmetry_Int_Tables_number 1
_symmetry_space_group_name_Hall 'P 1'
_cell_length_a 5.969
_cell_length_b 8.535
_cell_length_c 4.207
_cell_angle_alpha 90.00
_cell_angle_beta 90.00
_cell_angle_gamma 90.00
loop_
_atom_site_label
_atom_site_fract_x
_atom_site_fract_y
_atom_site_fract_z
Sb1 0.000 0.220 0.000
Sb2 0.000 0.780 0.000
Sb3 0.500 0.280 0.000
Sb4 0.500 0.720 0.000
Te1 0.000 0.500 0.500
Te2 0.500 0.000 0.500
P1 0.000 0.000 0.500
P2 0.500 0.500 0.500
```

Results
final energy: -4.059 eV/atom
formation energy (no corrections): 0.6 eV per formula unit
space group: No. 65


## Sb3Te12P5 (PBE)

Data for a relaxed structure of Sb3Te12P5.

The structure in CIF format:
```
data_Sb3Te12P5
_chemical_formula_sum 'Sb12 Te48 P20'
_symmetry_space_group_name_H-M 'P 1'
_symmetry_Int_Tables_number 1
_symmetry_space_group_name_Hall 'P 1'
_cell_length_a 14.896
_cell_length_b 14.896
_cell_length_c 14.896
_cell_angle_alpha 109.47
_cell_angle_beta 109.47
_cell_angle_gamma 109.47
loop_
_atom_site_label
_atom_site_fract_x
_atom_site_fract_y
_atom_site_fract_z
Sb1 0.125 0.250 0.375
Sb2 0.125 0.375 0.750
Sb3 0.250 0.375 0.125
Sb4 0.250 0.875 0.625
Sb5 0.375 0.125 0.250
Sb6 0.375 0.750 0.125
Sb7 0.625 0.250 0.875
Sb8 0.625 0.875 0.750
Sb9 0.750 0.125 0.375
Sb10 0.750 0.625 0.875
Sb11 0.875 0.625 0.250
Sb12 0.875 0.750 0.625
Te1 0.035 0.211 0.125
Te2 0.035 0.324 0.910
Te3 0.087 0.711 0.676
Te4 0.087 0.875 0.410
Te5 0.090 0.625 0.413
Te6 0.090 0.965 0.676
Te7 0.125 0.035 0.211
Te8 0.125 0.590 0.913
Te9 0.176 0.211 0.587
Te10 0.176 0.465 0.590
Te11 0.211 0.125 0.035
Te12 0.211 0.587 0.176
Te13 0.289 0.324 0.913
Te14 0.289 0.465 0.375
Te15 0.324 0.910 0.035
Te16 0.324 0.913 0.289
Te17 0.375 0.289 0.465
Te18 0.375 0.587 0.910
Te19 0.410 0.087 0.875
Te20 0.410 0.824 0.535
Te21 0.413 0.090 0.625
Te22 0.413 0.824 0.789
Te23 0.465 0.375 0.289
Te24 0.465 0.590 0.176
Te25 0.535 0.410 0.824
Te26 0.535 0.625 0.711
Te27 0.587 0.176 0.211
Te28 0.587 0.910 0.375
Te29 0.590 0.176 0.465
Te30 0.590 0.913 0.125
Te31 0.625 0.413 0.090
Te32 0.625 0.711 0.535
Te33 0.676 0.087 0.711
Te34 0.676 0.090 0.965
Te35 0.711 0.535 0.625
Te36 0.711 0.676 0.087
Te37 0.789 0.413 0.824
Te38 0.789 0.875 0.965
Te39 0.824 0.535 0.410
Te40 0.824 0.789 0.413
Te41 0.875 0.410 0.087
Te42 0.875 0.965 0.789
Te43 0.910 0.035 0.324
Te44 0.910 0.375 0.587
Te45 0.913 0.125 0.590
Te46 0.913 0.289 0.324
Te47 0.965 0.676 0.090
Te48 0.965 0.789 0.875
P1 0.000 0.000 0.000
P2 0.000 0.000 0.500
P3 0.000 0.500 0.000
P4 0.000 0.500 0.500
P5 0.125 0.750 0.875
P6 0.125 0.875 0.250
P7 0.250 0.125 0.875
P8 0.250 0.625 0.375
P9 0.375 0.250 0.625
P10 0.375 0.625 0.750
P11 0.500 0.000 0.000
P12 0.500 0.000 0.500
P13 0.500 0.500 0.000
P14 0.500 0.500 0.500
P15 0.625 0.375 0.250
P16 0.625 0.750 0.375
P17 0.750 0.375 0.625
P18 0.750 0.875 0.125
P19 0.875 0.125 0.750
P20 0.875 0.250 0.125
```

Results
final energy: -3.595 eV/atom
formation energy (no corrections): 5.2 eV per formula unit
space group: No. 230


## SbTeP2 (PBE)

Data for a relaxed structure of SbTeP2.

The structure in CIF format:
```
data_SbTeP2
_chemical_formula_sum 'Sb1 Te1 P2'
_symmetry_space_group_name_H-M 'P 1'
_symmetry_Int_Tables_number 1
_symmetry_space_group_name_Hall 'P 1'
_cell_length_a 4.940
_cell_length_b 4.940
_cell_length_c 3.415
_cell_angle_alpha 90.00
_cell_angle_beta 90.00
_cell_angle_gamma 90.00
loop_
_atom_site_label
_atom_site_fract_x
_atom_site_fract_y
_atom_site_fract_z
Sb1 0.000 0.000 0.000
Te1 0.500 0.500 0.000
P1 0.000 0.500 0.500
P2 0.500 0.000 0.500
```

Results
final energy: -3.946 eV/atom
formation energy (no corrections): 2.3 eV per formula unit
space group: No. 123


## SbTeP2 (PBE)

Data for a relaxed structure of SbTeP2.

The structure in CIF format:
```
data_SbTeP2
_chemical_formula_sum 'Sb2 Te2 P4'
_symmetry_space_group_name_H-M 'P 1'
_symmetry_Int_Tables_number 1
_symmetry_space_group_name_Hall 'P 1'
_cell_length_a 3.775
_cell_length_b 3.775
_cell_length_c 15.174
_cell_angle_alpha 90.00
_cell_angle_beta 90.00
_cell_angle_gamma 90.00
loop_
_atom_site_label
_atom_site_fract_x
_atom_site_fract_y
_atom_site_fract_z
Sb1 0.000 0.000 0.000
Sb2 0.500 0.500 0.500
Te1 0.000 0.500 0.750
Te2 0.500 0.000 0.250
P1 0.000 0.000 0.500
P2 0.000 0.500 0.250
P3 0.500 0.000 0.750
P4 0.500 0.500 0.000
```

Results
final energy: -3.947 eV/atom
formation energy (no corrections): 2.3 eV per formula unit
space group: No. 119


## SbTeP2 (PBE)

Data for a relaxed structure of SbTeP2.

The structure in CIF format:
```
data_SbTeP2
_chemical_formula_sum 'Sb4 Te4 P8'
_symmetry_space_group_name_H-M 'P 1'
_symmetry_Int_Tables_number 1
_symmetry_space_group_name_Hall 'P 1'
_cell_length_a 7.057
_cell_length_b 7.057
_cell_length_c 8.499
_cell_angle_alpha 90.00
_cell_angle_beta 90.00
_cell_angle_gamma 90.00
loop_
_atom_site_label
_atom_site_fract_x
_atom_site_fract_y
_atom_site_fract_z
Sb1 0.000 0.000 0.000
Sb2 0.000 0.500 0.250
Sb3 0.500 0.000 0.750
Sb4 0.500 0.500 0.500
Te1 0.000 0.000 0.500
Te2 0.000 0.500 0.750
Te3 0.500 0.000 0.250
Te4 0.500 0.500 0.000
P1 0.240 0.750 0.125
P2 0.250 0.240 0.875
P3 0.250 0.260 0.375
P4 0.260 0.750 0.625
P5 0.740 0.250 0.625
P6 0.750 0.740 0.375
P7 0.750 0.760 0.875
P8 0.760 0.250 0.125
```

Results
final energy: -4.086 eV/atom
formation energy (no corrections): 1.7 eV per formula unit
space group: No. 122


## SbTeP (PBE)

Data for a relaxed structure of SbTeP.

The structure in CIF format:
```
data_SbTeP
_chemical_formula_sum 'Sb3 Te3 P3'
_symmetry_space_group_name_H-M 'P 1'
_symmetry_Int_Tables_number 1
_symmetry_space_group_name_Hall 'P 1'
_cell_length_a 7.603
_cell_length_b 7.603
_cell_length_c 7.603
_cell_angle_alpha 56.80
_cell_angle_beta 56.80
_cell_angle_gamma 56.80
loop_
_atom_site_label
_atom_site_fract_x
_atom_site_fract_y
_atom_site_fract_z
Sb1 0.000 0.000 0.000
Sb2 0.233 0.233 0.233
Sb3 0.564 0.564 0.564
Te1 0.075 0.733 0.422
Te2 0.422 0.075 0.733
Te3 0.733 0.422 0.075
P1 0.407 0.546 0.974
P2 0.546 0.974 0.407
P3 0.974 0.407 0.546
```

Results
final energy: -4.087 eV/atom
formation energy (no corrections): 0.4 eV per formula unit
space group: No. 146


## SbTeP3 (PBE)

Data for a relaxed structure of SbTeP3.

The structure in CIF format:
```
data_SbTeP3
_chemical_formula_sum 'Sb1 Te1 P3'
_symmetry_space_group_name_H-M 'P 1'
_symmetry_Int_Tables_number 1
_symmetry_space_group_name_Hall 'P 1'
_cell_length_a 5.028
_cell_length_b 5.028
_cell_length_c 5.028
_cell_angle_alpha 90.00
_cell_angle_beta 90.00
_cell_angle_gamma 90.00
loop_
_atom_site_label
_atom_site_fract_x
_atom_site_fract_y
_atom_site_fract_z
Sb1 0.000 0.000 0.000
Te1 0.500 0.500 0.500
P1 0.000 0.000 0.500
P2 0.000 0.500 0.000
P3 0.500 0.000 0.000
```

Results
final energy: -3.538 eV/atom
formation energy (no corrections): 5.8 eV per formula unit
space group: No. 221


## SbTeP (PBE)

Data for a relaxed structure of SbTeP.

The structure in CIF format:
```
data_SbTeP
_chemical_formula_sum 'Sb4 Te4 P4'
_symmetry_space_group_name_H-M 'P 1'
_symmetry_Int_Tables_number 1
_symmetry_space_group_name_Hall 'P 1'
_cell_length_a 6.873
_cell_length_b 6.873
_cell_length_c 6.873
_cell_angle_alpha 90.00
_cell_angle_beta 90.00
_cell_angle_gamma 90.00
loop_
_atom_site_label
_atom_site_fract_x
_atom_site_fract_y
_atom_site_fract_z
Sb1 0.121 0.121 0.121
Sb2 0.379 0.879 0.621
Sb3 0.621 0.379 0.879
Sb4 0.879 0.621 0.379
Te1 0.121 0.379 0.621
Te2 0.379 0.621 0.121
Te3 0.621 0.121 0.379
Te4 0.879 0.879 0.879
P1 0.020 0.980 0.480
P2 0.480 0.020 0.980
P3 0.520 0.520 0.520
P4 0.980 0.480 0.020
```

Results
final energy: -3.987 eV/atom
formation energy (no corrections): 0.7 eV per formula unit
space group: No. 198


## Sb2TeP (PBE)

Data for a relaxed structure of Sb2TeP.

The structure in CIF format:
```
data_Sb2TeP
_chemical_formula_sum 'Sb2 Te1 P1'
_symmetry_space_group_name_H-M 'P 1'
_symmetry_Int_Tables_number 1
_symmetry_space_group_name_Hall 'P 1'
_cell_length_a 3.501
_cell_length_b 3.501
_cell_length_c 8.170
_cell_angle_alpha 90.00
_cell_angle_beta 90.00
_cell_angle_gamma 90.00
loop_
_atom_site_label
_atom_site_fract_x
_atom_site_fract_y
_atom_site_fract_z
Sb1 0.000 0.000 0.190
Sb2 0.000 0.000 0.810
Te1 0.500 0.500 0.500
P1 0.500 0.500 0.000
```

Results
final energy: -3.899 eV/atom
formation energy (no corrections): 1.2 eV per formula unit
space group: No. 123


## SbTeP (PBE)

Data for a relaxed structure of SbTeP.

The structure in CIF format:
```
data_SbTeP
_chemical_formula_sum 'Sb4 Te4 P4'
_symmetry_space_group_name_H-M 'P 1'
_symmetry_Int_Tables_number 1
_symmetry_space_group_name_Hall 'P 1'
_cell_length_a 6.830
_cell_length_b 6.830
_cell_length_c 6.830
_cell_angle_alpha 90.00
_cell_angle_beta 90.00
_cell_angle_gamma 90.00
loop_
_atom_site_label
_atom_site_fract_x
_atom_site_fract_y
_atom_site_fract_z
Sb1 0.000 0.000 0.000
Sb2 0.000 0.500 0.500
Sb3 0.500 0.000 0.500
Sb4 0.500 0.500 0.000
Te1 0.000 0.000 0.500
Te2 0.000 0.500 0.000
Te3 0.500 0.000 0.000
Te4 0.500 0.500 0.500
P1 0.250 0.250 0.750
P2 0.250 0.750 0.250
P3 0.750 0.250 0.250
P4 0.750 0.750 0.750
```

Results
final energy: -3.737 eV/atom
formation energy (no corrections): 1.5 eV per formula unit
space group: No. 216


## SbTeP2 (PBE)

Data for a relaxed structure of SbTeP2.

The structure in CIF format:
```
data_SbTeP2
_chemical_formula_sum 'Sb1 Te1 P2'
_symmetry_space_group_name_H-M 'P 1'
_symmetry_Int_Tables_number 1
_symmetry_space_group_name_Hall 'P 1'
_cell_length_a 4.593
_cell_length_b 4.000
_cell_length_c 5.513
_cell_angle_alpha 90.00
_cell_angle_beta 111.69
_cell_angle_gamma 90.00
loop_
_atom_site_label
_atom_site_fract_x
_atom_site_fract_y
_atom_site_fract_z
Sb1 0.000 0.000 0.000
Te1 0.262 0.500 0.729
P1 0.536 0.000 0.395
P2 0.749 0.500 0.285
```

Results
final energy: -4.307 eV/atom
formation energy (no corrections): 0.9 eV per formula unit
space group: No. 6


## Sb2TeP (PBE)

Data for a relaxed structure of Sb2TeP.

The structure in CIF format:
```
data_Sb2TeP
_chemical_formula_sum 'Sb4 Te2 P2'
_symmetry_space_group_name_H-M 'P 1'
_symmetry_Int_Tables_number 1
_symmetry_space_group_name_Hall 'P 1'
_cell_length_a 3.570
_cell_length_b 5.043
_cell_length_c 11.300
_cell_angle_alpha 90.00
_cell_angle_beta 90.00
_cell_angle_gamma 90.00
loop_
_atom_site_label
_atom_site_fract_x
_atom_site_fract_y
_atom_site_fract_z
Sb1 0.000 0.000 0.192
Sb2 0.000 0.000 0.808
Sb3 0.500 0.500 0.308
Sb4 0.500 0.500 0.692
Te1 0.000 0.500 0.000
Te2 0.500 0.000 0.500
P1 0.000 0.500 0.500
P2 0.500 0.000 0.000
```

Results
final energy: -3.862 eV/atom
formation energy (no corrections): 1.3 eV per formula unit
space group: No. 71